Entry 1:
Ca3Si4Pt7 | PBE-GGA | relaxed

## Properties
- space group = C2/m
- formation energy without anion corrections (eV/atom) = -0.95
- M_tot (μB per formula unit) = 0.00
- V (Å³/atom) = 17.278

abc: 7.9863 7.9863 9.4979
angles: 123.95 123.95 29.28
With the nearest neighbours (Å) after each atom.
Element x y z (fractional)
1 Ca 0.0000 0.0000 0.0000  6 Si 2.97-3.13, 6 Pt 3.20-3.23
2 Ca 0.3324 0.3324 0.3382  9 Pt 2.92-3.11, 4 Si 2.99-3.02
3 Ca 0.6676 0.6676 0.6618  9 Pt 2.92-3.11, 4 Si 2.99-3.02
4 Si 0.1120 0.1120 0.8297  6 Pt 2.46-2.65
5 Si 0.3323 0.3323 0.7257  5 Pt 2.42-2.55
6 Si 0.6677 0.6677 0.2743  5 Pt 2.42-2.55
7 Si 0.8880 0.8880 0.1703  6 Pt 2.46-2.65
8 Pt 0.0000 0.0000 0.5000  2 Si 2.56
9 Pt 0.1684 0.1684 0.4149  3 Si 2.42-2.55
10 Pt 0.3016 0.3016 0.9486  4 Si 2.42-2.65
11 Pt 0.4955 0.4955 0.7348  3 Si 2.47-2.50
12 Pt 0.5045 0.5045 0.2652  3 Si 2.47-2.50
13 Pt 0.6984 0.6984 0.0514  4 Si 2.42-2.65
14 Pt 0.8316 0.8316 0.5851  3 Si 2.42-2.55

Entry 2:
BaLaMgHg | PBE-GGA | relaxed

## Properties
- space group = F-43m
- DFT total energy (eV per atom) = -2.395
- M_tot (μB per formula unit) = 0.00
- V (Å³/atom) = 34.208

abc: 5.7841 5.7841 5.7841
angles: 60.00 60.00 60.00
With the nearest neighbours (Å) after each atom.
Element x y z (fractional)
1 Ba 0.0000 0.0000 0.0000  4 Hg 3.54, 4 Mg 3.54
2 La 0.5000 0.5000 0.5000  4 Hg 3.54, 4 Mg 3.54
3 Mg 0.7500 0.7500 0.7500  4 Ba 3.54, 4 La 3.54
4 Hg 0.2500 0.2500 0.2500  4 Ba 3.54, 4 La 3.54

Entry 3:
CeHo2Si2 | PBE-GGA | relaxed

## Properties
- space group = P2_1/m
- formation energy without anion corrections (eV/atom) = -0.47
- M_tot (μB per formula unit) = 0.83
- V (Å³/atom) = 25.566

abc: 5.5652 4.1238 11.2045
angles: 90.00 96.16 90.00
With the nearest neighbours (Å) after each atom.
Element x y z (fractional)
1 Ce 0.0902 0.2500 0.2803  5 Si 2.91-3.08
2 Ce 0.9098 0.7500 0.7197  5 Si 2.91-3.08
3 Ho 0.2468 0.2500 0.9479  4 Si 2.88-2.93
4 Ho 0.4040 0.2500 0.6265  5 Si 2.98-3.14
5 Ho 0.5960 0.7500 0.3735  5 Si 2.98-3.14
6 Ho 0.7532 0.7500 0.0521  4 Si 2.88-2.93
7 Si 0.1250 0.7500 0.4779  2 Si 2.57
8 Si 0.2655 0.7500 0.1286  5 Ho 2.88-3.14, 2 Ce 2.91
9 Si 0.7345 0.2500 0.8714  5 Ho 2.88-3.14, 2 Ce 2.91
10 Si 0.8750 0.2500 0.5221  2 Si 2.57

Entry 4:
ErGeHIr2 | PBE-GGA | relaxed

## Properties
- space group = Cmcm
- DFT total energy (eV per atom) = -6.612
- M_tot (μB per formula unit) = 0.00
- V (Å³/atom) = 15.012

abc: 5.7000 5.7000 7.2768
angles: 90.00 90.00 140.58
With the nearest neighbours (Å) after each atom.
Element x y z (fractional)
1 Er 0.0517 0.9483 0.7500  4 H 2.70, 1 Ge 3.02
2 Er 0.9483 0.0517 0.2500  4 H 2.70, 1 Ge 3.02
3 Ge 0.2297 0.7703 0.2500  6 Ir 2.52-2.53
4 Ge 0.7703 0.2297 0.7500  6 Ir 2.52-2.53
5 H 0.5000 0.5000 0.0000  2 Ir 1.71
6 H 0.5000 0.5000 0.5000  2 Ir 1.71
7 Ir 0.3447 0.6553 0.5540  1 H 1.71
8 Ir 0.3447 0.6553 0.9460  1 H 1.71
9 Ir 0.6553 0.3447 0.0540  1 H 1.71
10 Ir 0.6553 0.3447 0.4460  1 H 1.71

Entry 5:
PrSmGe4 | PBE-GGA | relaxed

## Properties
- space group = F-43m
- DFT total energy (eV per atom) = -5.028
- M_tot (μB per formula unit) = 0.00
- V (Å³/atom) = 22.125

abc: 5.7260 5.7260 5.7260
angles: 60.00 60.00 60.00
With the nearest neighbours (Å) after each atom.
Element x y z (fractional)
1 Pr 0.0000 0.0000 0.0000  12 Ge 3.36, 4 Sm 3.51
2 Sm 0.7500 0.7500 0.7500  12 Ge 3.35, 4 Pr 3.51
3 Ge 0.3762 0.3762 0.3762  6 Ge 2.84-2.89
4 Ge 0.3762 0.3762 0.8715  6 Ge 2.84-2.89
5 Ge 0.3762 0.8715 0.3762  6 Ge 2.84-2.89
6 Ge 0.8715 0.3762 0.3762  6 Ge 2.84-2.89

Entry 6:
LiCrCd2P | PBE-GGA | relaxed

## Properties
- space group = P4/mmm
- DFT total energy (eV per atom) = -2.797
- M_tot (μB per formula unit) = 0.01
- V (Å³/atom) = 18.428

abc: 4.6546 4.6546 4.2530
angles: 90.00 90.00 90.00
With the nearest neighbours (Å) after each atom.
Element x y z (fractional)
1 Li 0.0000 0.0000 0.0000  2 P 2.13, 4 Cd 2.33
2 Cr 0.5000 0.5000 0.5000  8 Cd 3.15, 4 P 3.29
3 Cd 0.0000 0.5000 0.0000  2 Li 2.33
4 Cd 0.5000 0.0000 0.0000  2 Li 2.33
5 P 0.0000 0.0000 0.5000  2 Li 2.13

Entry 7:
LaAg3Cl7 | PBE-GGA | relaxed

## Properties
- space group = Cm
- formation energy without anion corrections (eV/atom) = -1.10
- M_tot (μB per formula unit) = 0.61
- V (Å³/atom) = 28.732

abc: 7.2189 7.2189 7.3409
angles: 112.93 112.93 69.88
With the nearest neighbours (Å) after each atom.
Element x y z (fractional)
1 La 0.0000 0.0000 0.0000  7 Cl 2.83-2.92
2 Ag 0.3392 0.8940 0.5996  5 Cl 2.65-2.80
3 Ag 0.5426 0.5426 0.9863  4 Cl 2.52-2.53
4 Ag 0.8940 0.3392 0.5996  5 Cl 2.65-2.80
5 Cl 0.2073 0.6537 0.7260  2 Ag 2.53-2.80
6 Cl 0.2094 0.2094 0.9144  2 Ag 2.74, 1 La 2.83
7 Cl 0.4123 0.8533 0.2557  2 Ag 2.52-2.66
8 Cl 0.6537 0.2073 0.7260  2 Ag 2.53-2.80
9 Cl 0.7220 0.7220 0.7826  2 Ag 2.65, 1 La 2.90
10 Cl 0.8533 0.4123 0.2557  2 Ag 2.52-2.66
11 Cl 0.9552 0.9552 0.3466  2 Ag 2.67, 1 La 2.83

Entry 8:
DyAs6Pd12 | PBE-GGA | relaxed

## Properties
- space group = R-3m
- DFT total energy (eV per atom) = -5.342
- M_tot (μB per formula unit) = 0.00
- V (Å³/atom) = 17.808

abc: 7.3180 7.3180 7.3180
angles: 105.56 105.56 105.56
With the nearest neighbours (Å) after each atom.
Element x y z (fractional)
1 Dy 0.0000 0.0000 0.0000  6 Pd 3.06
2 As 0.2533 0.2533 0.6693  6 Pd 2.50-2.57
3 As 0.2533 0.6693 0.2533  6 Pd 2.50-2.57
4 As 0.3307 0.7467 0.7467  6 Pd 2.50-2.57
5 As 0.6693 0.2533 0.2533  6 Pd 2.50-2.57
6 As 0.7467 0.3307 0.7467  6 Pd 2.50-2.57
7 As 0.7467 0.7467 0.3307  6 Pd 2.50-2.57
8 Pd 0.1258 0.5000 0.8742  4 As 2.50-2.56, 2 Pd 2.79
9 Pd 0.1258 0.8742 0.5000  4 As 2.50-2.56, 2 Pd 2.79
10 Pd 0.1361 0.3800 0.3800  2 As 2.57, 4 Pd 2.79-2.84
11 Pd 0.3800 0.1361 0.3800  2 As 2.57, 4 Pd 2.79-2.84
12 Pd 0.3800 0.3800 0.1361  2 As 2.57, 4 Pd 2.79-2.84
13 Pd 0.5000 0.1258 0.8742  4 As 2.50-2.56, 2 Pd 2.79
14 Pd 0.5000 0.8742 0.1258  4 As 2.50-2.56, 2 Pd 2.79
15 Pd 0.6200 0.6200 0.8639  2 As 2.57, 4 Pd 2.79-2.84
16 Pd 0.6200 0.8639 0.6200  2 As 2.57, 4 Pd 2.79-2.84
17 Pd 0.8639 0.6200 0.6200  2 As 2.57, 4 Pd 2.79-2.84
18 Pd 0.8742 0.1258 0.5000  4 As 2.50-2.56, 2 Pd 2.79
19 Pd 0.8742 0.5000 0.1258  4 As 2.50-2.56, 2 Pd 2.79

Entry 9:
CsZnCo3 | PBE-GGA | relaxed

## Properties
- space group = Pm-3m
- DFT total energy (eV per atom) = -3.330
- M_tot (μB per formula unit) = 5.10
- V (Å³/atom) = 21.718

abc: 4.7709 4.7709 4.7709
angles: 90.00 90.00 90.00
With the nearest neighbours (Å) after each atom.
Element x y z (fractional)
1 Cs 0.0000 0.0000 0.0000  12 Co 3.37
2 Zn 0.5000 0.5000 0.5000  6 Co 2.39
3 Co 0.0000 0.5000 0.5000  2 Zn 2.39
4 Co 0.5000 0.0000 0.5000  2 Zn 2.39
5 Co 0.5000 0.5000 0.0000  2 Zn 2.39

Entry 10:
La8Ir4Pd | PBE-GGA | relaxed

## Properties
- space group = Cm
- DFT total energy (eV per atom) = -6.831
- M_tot (μB per formula unit) = 0.00
- V (Å³/atom) = 31.823

abc: 9.2813 9.2813 13.2336
angles: 124.83 124.83 26.63
With the nearest neighbours (Å) after each atom.
Element x y z (fractional)
1 La 0.0000 0.0000 0.0000  3 Ir 2.91-2.96, 2 Pd 3.06
2 La 0.1428 0.1428 0.3653  3 Ir 2.84-2.92
3 La 0.2677 0.2677 0.7646  3 Ir 2.87-2.92, 1 Pd 2.98
4 La 0.3860 0.3860 0.1213  3 Ir 2.86-2.90
5 La 0.5080 0.5080 0.4835  3 Ir 2.85-2.90
6 La 0.6272 0.6272 0.8404  3 Ir 2.87-2.92, 1 Pd 2.98
7 La 0.7515 0.7515 0.2410  3 Ir 2.84-2.92
8 La 0.8951 0.8951 0.6062  3 Ir 2.92-2.96, 2 Pd 3.06
9 Ir 0.0763 0.0763 0.6596  6 La 2.85-2.92
10 Ir 0.3234 0.3234 0.4156  6 La 2.84-2.96
11 Ir 0.5710 0.5710 0.1907  6 La 2.84-2.96
12 Ir 0.8184 0.8184 0.9451  6 La 2.86-2.92
13 Pd 0.4478 0.4478 0.8032  6 La 2.98-3.06

Entry 11:
Ba2ZnP2F | PBE-GGA | relaxed

## Properties
- space group = P4/mmm
- formation energy without anion corrections (eV/atom) = -0.32
- M_tot (μB per formula unit) = 0.00
- V (Å³/atom) = 34.163

abc: 3.6428 3.6428 15.4469
angles: 90.00 90.00 90.00
With the nearest neighbours (Å) after each atom.
Element x y z (fractional)
1 Ba 0.0000 0.0000 0.1595  1 F 2.46
2 Ba 0.0000 0.0000 0.8405  1 F 2.46
3 Zn 0.0000 0.0000 0.5000  2 P 2.23
4 P 0.0000 0.0000 0.3555  1 Zn 2.23
5 P 0.0000 0.0000 0.6445  1 Zn 2.23
6 F 0.0000 0.0000 0.0000  2 Ba 2.46

Entry 12:
Pm2AgIrO6 | PBE-GGA | relaxed

## Properties
- space group = R3
- formation energy without anion corrections (eV/atom) = -1.91
- M_tot (μB per formula unit) = 2.05
- V (Å³/atom) = 15.320

abc: 6.2393 6.2393 6.2393
angles: 55.35 55.35 55.35
With the nearest neighbours (Å) after each atom.
Element x y z (fractional)
1 Pm 0.0000 0.0000 0.0000  6 O 2.33-2.43
2 Pm 0.4807 0.4807 0.4807  6 O 2.33-2.40
3 Ag 0.2361 0.2361 0.2361  3 O 2.26
4 Ir 0.8007 0.8007 0.8007  6 O 1.99-2.02
5 O 0.0287 0.4422 0.7333  1 Ir 1.99
6 O 0.1606 0.8603 0.6248  1 Ir 2.02, 1 Ag 2.26
7 O 0.4422 0.7333 0.0287  1 Ir 1.99
8 O 0.6248 0.1606 0.8603  1 Ir 2.02, 1 Ag 2.26
9 O 0.7333 0.0287 0.4422  1 Ir 1.99
10 O 0.8603 0.6248 0.1606  1 Ir 2.02, 1 Ag 2.26

Look up the V of the twelfth one. 15.320 Å³/atom